First-principles (PBE) data for a geometry-optimized Ga3NiIr4 structure, as listed in Alexandria via LeMat-Bulk.

Results
**Calculated volume**: 111 Å³/cell
**DFT formation energy**: -282 meV/atom

Lattice parameters (Å, degrees): 4.288 4.288 6.768 108.47 108.48 89.98
Each line ends with the local moment (μB).
Sites, in units of the cell vectors:
Ir 0.376 0.376 0.751  0.13
Ga 0.000 0.500 0.000  -0.01
Ni 0.500 0.000 0.000  0.63
Ga 0.746 0.246 0.492  0.00
Ir 0.876 0.876 0.751  0.13
Ga 0.254 0.754 0.508  0.00
Ir 0.624 0.624 0.249  0.13
Ir 0.124 0.124 0.249  0.13